No. 1
Entry from Alexandria via LeMat-Bulk: a relaxed structure of LaTbHg2 (GGA-PBE).

* crystal system: trigonal
* formation energy from the elements: -324 meV/atom
* E: -2.86 eV per atom

Cell: 9.498 9.498 9.498 Å, 23.72 23.72 23.72°
Fractional coordinates of all 4 atoms:
La 0.000 0.000 0.000
Tb 0.833 0.833 0.833
Hg 0.421 0.421 0.421
Hg 0.579 0.579 0.579


No. 2
Entry from Alexandria via LeMat-Bulk: a relaxed structure of LaTb5Hg4 (GGA-PBE).

* crystal system: tetragonal
* formation energy from the elements: -379 meV/atom
* E: -3.31 eV per atom

Cell: 3.726 3.726 20.009 Å, 90.00 90.00 90.00°
Fractional coordinates of all 10 atoms:
La 0.000 0.000 0.000
Tb 0.500 0.500 0.126
Tb 0.500 0.500 0.313
Tb 0.500 0.500 0.500
Tb 0.500 0.500 0.687
Tb 0.500 0.500 0.874
Hg 0.000 0.000 0.217
Hg 0.000 0.000 0.405
Hg 0.000 0.000 0.595
Hg 0.000 0.000 0.783


No. 3
Entry from Alexandria via LeMat-Bulk: a relaxed structure of LaTbHg2 (GGA-PBE).

* crystal system: tetragonal
* formation energy from the elements: -490 meV/atom
* E: -3.03 eV per atom

Cell: 3.776 3.776 7.831 Å, 90.00 90.00 90.00°
Fractional coordinates of all 4 atoms:
La 0.000 0.000 0.000
Tb 0.000 0.000 0.500
Hg 0.500 0.500 0.274
Hg 0.500 0.500 0.726


No. 4
Entry from Alexandria via LeMat-Bulk: a relaxed structure of La5TbHg4 (GGA-PBE).

* crystal system: tetragonal
* formation energy from the elements: -385 meV/atom
* E: -3.43 eV per atom

Cell: 3.879 3.879 20.584 Å, 90.00 90.00 90.00°
Fractional coordinates of all 10 atoms:
La 0.000 0.000 0.000
La 0.000 0.000 0.191
La 0.000 0.000 0.383
La 0.000 0.000 0.617
La 0.000 0.000 0.809
Tb 0.500 0.500 0.500
Hg 0.500 0.500 0.095
Hg 0.500 0.500 0.290
Hg 0.500 0.500 0.710
Hg 0.500 0.500 0.905


No. 5
Entry from Alexandria via LeMat-Bulk: a relaxed structure of LaTb4Hg (GGA-PBE).

* crystal system: monoclinic
* formation energy from the elements: -55 meV/atom
* E: -4.01 eV per atom

Cell: 8.294 8.294 6.407 Å, 100.08 100.08 115.46°
Fractional coordinates of all 12 atoms:
La 0.095 0.905 0.750
La 0.905 0.095 0.250
Tb 0.104 0.338 0.871
Tb 0.214 0.589 0.453
Tb 0.338 0.104 0.371
Tb 0.411 0.786 0.047
Tb 0.589 0.214 0.953
Tb 0.662 0.896 0.629
Tb 0.786 0.411 0.547
Tb 0.896 0.662 0.129
Hg 0.499 0.501 0.750
Hg 0.501 0.499 0.250


No. 6
Entry from Alexandria via LeMat-Bulk: a relaxed structure of La2TbHg8 (GGA-PBE).

* crystal system: orthorhombic
* formation energy from the elements: -371 meV/atom
* E: -1.91 eV per atom

Cell: 8.692 8.692 8.692 Å, 144.60 128.50 64.05°
Fractional coordinates of all 11 atoms:
La 0.197 0.197 0.000
La 0.803 0.803 0.000
Tb 0.500 0.500 0.000
Hg 0.069 0.361 0.708
Hg 0.219 0.000 0.219
Hg 0.344 0.844 0.500
Hg 0.347 0.639 0.708
Hg 0.653 0.361 0.292
Hg 0.656 0.156 0.500
Hg 0.781 0.000 0.781
Hg 0.931 0.639 0.292


No. 7
Entry from Alexandria via LeMat-Bulk: a relaxed structure of La2Tb8Hg (GGA-PBE).

* crystal system: monoclinic
* formation energy from the elements: 32 meV/atom
* E: -4.26 eV per atom

Cell: 9.336 9.336 7.577 Å, 107.94 107.94 34.35°
Fractional coordinates of all 11 atoms:
La 0.186 0.186 0.172
La 0.814 0.814 0.828
Tb 0.016 0.016 0.269
Tb 0.182 0.182 0.732
Tb 0.340 0.340 0.568
Tb 0.401 0.401 0.073
Tb 0.599 0.599 0.927
Tb 0.660 0.660 0.432
Tb 0.818 0.818 0.268
Tb 0.984 0.984 0.731
Hg 0.500 0.500 0.500


No. 8
Entry from Alexandria via LeMat-Bulk: a relaxed structure of La4TbHg2 (GGA-PBE).

* crystal system: trigonal
* formation energy from the elements: -60 meV/atom
* E: -3.62 eV per atom

Cell: 9.526 9.526 9.526 Å, 34.56 34.56 34.56°
Fractional coordinates of all 7 atoms:
La 0.130 0.130 0.130
La 0.270 0.270 0.270
La 0.730 0.730 0.730
La 0.870 0.870 0.870
Tb 0.500 0.500 0.500
Hg 0.389 0.389 0.389
Hg 0.611 0.611 0.611


No. 9
Entry from Alexandria via LeMat-Bulk: a relaxed structure of La4TbHg (GGA-PBE).

* crystal system: tetragonal
* formation energy from the elements: -156 meV/atom
* E: -4.26 eV per atom

Cell: 3.772 3.772 14.164 Å, 90.00 90.00 90.00°
Fractional coordinates of all 6 atoms:
La 0.000 0.000 0.146
La 0.000 0.000 0.854
La 0.500 0.500 0.325
La 0.500 0.500 0.675
Tb 0.000 0.000 0.500
Hg 0.500 0.500 0.000


No. 10
Entry from Alexandria via LeMat-Bulk: a relaxed structure of LaTb3Hg2 (GGA-PBE).

* crystal system: monoclinic
* formation energy from the elements: -269 meV/atom
* E: -3.51 eV per atom

Cell: 8.590 8.590 8.959 Å, 113.91 113.91 36.62°
Fractional coordinates of all 12 atoms:
La 0.132 0.132 0.187
La 0.868 0.868 0.813
Tb 0.065 0.065 0.723
Tb 0.306 0.306 0.997
Tb 0.382 0.382 0.473
Tb 0.618 0.618 0.527
Tb 0.694 0.694 0.003
Tb 0.935 0.935 0.277
Hg 0.224 0.224 0.606
Hg 0.493 0.493 0.833
Hg 0.507 0.507 0.167
Hg 0.776 0.776 0.394


No. 11
Entry from Alexandria via LeMat-Bulk: a relaxed structure of La2TbHg2 (GGA-PBE).

* crystal system: orthorhombic
* formation energy from the elements: -353 meV/atom
* E: -3.37 eV per atom

Cell: 6.126 6.126 6.126 Å, 132.43 107.76 91.17°
Fractional coordinates of all 5 atoms:
La 0.189 0.189 0.000
La 0.811 0.811 0.000
Tb 0.500 0.000 0.500
Hg 0.223 0.500 0.723
Hg 0.777 0.500 0.277


No. 12
Entry from Alexandria via LeMat-Bulk: a relaxed structure of La5TbHg (GGA-PBE).

* crystal system: monoclinic
* formation energy from the elements: -7 meV/atom
* E: -4.23 eV per atom

Cell: 8.271 8.271 8.081 Å, 104.31 104.31 106.43°
Fractional coordinates of all 14 atoms:
La 0.096 0.904 0.750
La 0.244 0.585 0.913
La 0.246 0.334 0.165
La 0.334 0.246 0.665
La 0.415 0.756 0.587
La 0.585 0.244 0.413
La 0.666 0.754 0.335
La 0.754 0.666 0.835
La 0.756 0.415 0.087
La 0.904 0.096 0.250
Tb 0.154 0.846 0.250
Tb 0.846 0.154 0.750
Hg 0.000 0.500 0.500
Hg 0.500 0.000 0.000